[1]
An optimized crystal structure of CaAl4Au6. Source: Alexandria via LeMat-Bulk, functional PBE-GGA.

Lattice parameters (Å, degrees): 4.2427 7.4774 7.4774 120.00 90.00 90.00
Closest atoms and distances in Å follow each position.
Positions (direct):
1 Ca 0.0000 0.3333 0.6667  6 Au 3.29, 6 Al 3.35
2 Al 0.5000 0.5334 0.4670  6 Au 2.55-2.73
3 Al 0.5000 0.9335 0.4666  6 Au 2.55-2.73
4 Al 0.0000 0.0000 0.0000  9 Au 2.60-2.79
5 Al 0.5000 0.5330 0.0665  6 Au 2.55-2.73
6 Au 0.5000 0.1394 0.8604  4 Al 2.55-2.79
7 Au 0.5000 0.1396 0.2790  4 Al 2.55-2.79
8 Au 0.0000 0.7993 0.5983  5 Al 2.60-2.73
9 Au 0.0000 0.4017 0.2011  5 Al 2.60-2.73
10 Au 0.0000 0.7989 0.2007  5 Al 2.60-2.73
11 Au 0.5000 0.7210 0.8606  4 Al 2.55-2.79

## Properties
D(E_F) = 4.12 states/eV per cell
Formation enthalpy at 0 K = -483 meV per atom
Relative energy among the computed polymorphs = 0 meV per atom

***

[2]
An optimized crystal structure of CaAl2Au. Source: Alexandria via LeMat-Bulk, functional PBE-GGA.

Lattice parameters (Å, degrees): 4.2152 4.2141 4.5301 90.00 90.00 90.00
Closest atoms and distances in Å follow each position.
Positions (direct):
1 Ca 0.0000 0.5000 0.5000  4 Au 2.98, 8 Al 3.09
2 Au 0.5000 0.0000 0.5000  4 Ca 2.98, 8 Al 3.09
3 Al 0.0000 0.0000 0.0000  4 Al 2.98, 4 Ca 3.09, 4 Au 3.09
4 Al 0.5000 0.5000 0.0000  4 Al 2.98, 4 Au 3.09, 4 Ca 3.09

## Properties
D(E_F) = 1.26 states/eV per cell
Formation enthalpy at 0 K = -308 meV per atom

***

[3]
An optimized crystal structure of CaAl2Au2. Source: Alexandria via LeMat-Bulk, functional PBE-GGA.

Lattice parameters (Å, degrees): 7.7280 7.7280 3.3112 90.00 90.00 90.00
Closest atoms and distances in Å follow each position.
Positions (direct):
1 Ca 0.0000 0.0000 0.0000  4 Au 3.00, 2 Ca 3.31, 8 Al 3.36
2 Ca 0.5000 0.5000 0.0000  4 Au 3.00, 2 Ca 3.31, 8 Al 3.36
3 Au 0.3626 0.8626 0.0000  6 Al 2.80-2.81, 2 Ca 3.00, 1 Au 3.00
4 Au 0.8626 0.6374 0.0000  6 Al 2.80-2.81, 2 Ca 3.00, 1 Au 3.00
5 Au 0.6374 0.1374 0.0000  6 Al 2.80-2.81, 2 Ca 3.00, 1 Au 3.00
6 Au 0.1374 0.3626 0.0000  6 Al 2.80-2.81, 2 Ca 3.00, 1 Au 3.00
7 Al 0.1559 0.6559 0.5000  6 Au 2.80-2.81
8 Al 0.6559 0.8441 0.5000  6 Au 2.80-2.81
9 Al 0.8441 0.3441 0.5000  6 Au 2.80-2.81
10 Al 0.3441 0.1559 0.5000  6 Au 2.80-2.81

## Properties
D(E_F) = 6.41 states/eV per cell
Formation enthalpy at 0 K = -364 meV per atom

***

[4]
An optimized crystal structure of CaAl2Au. Source: Alexandria via LeMat-Bulk, functional PBE-GGA.

Lattice parameters (Å, degrees): 5.6692 7.0583 16.3788 90.00 90.00 90.00
Closest atoms and distances in Å follow each position.
Positions (direct):
1 Ca 0.4766 0.2500 0.1450  3 Au 3.01-3.30, 6 Al 3.17-3.25
2 Ca 0.9766 0.7500 0.3550  3 Au 3.01-3.30, 6 Al 3.17-3.25
3 Ca 0.5234 0.7500 0.8550  3 Au 3.01-3.30, 6 Al 3.17-3.25
4 Ca 0.0234 0.2500 0.6450  3 Au 3.01-3.30, 6 Al 3.17-3.25
5 Ca 0.7328 0.2500 0.3928  3 Au 2.97-3.20, 4 Al 3.14-3.20
6 Ca 0.2328 0.7500 0.1072  3 Au 2.97-3.20, 4 Al 3.14-3.20
7 Ca 0.2672 0.7500 0.6072  3 Au 2.97-3.20, 4 Al 3.14-3.20
8 Ca 0.7672 0.2500 0.8928  3 Au 2.97-3.20, 4 Al 3.14-3.20
9 Al 0.9579 0.0583 0.2143  3 Au 2.64-2.71, 1 Al 2.71
10 Al 0.4579 0.9417 0.2857  3 Au 2.64-2.71, 1 Al 2.71
11 Al 0.0421 0.5583 0.7857  3 Au 2.64-2.71, 1 Al 2.71
12 Al 0.5421 0.4417 0.7143  3 Au 2.64-2.71, 1 Al 2.71
13 Al 0.0421 0.9417 0.7857  3 Au 2.64-2.71, 1 Al 2.71
14 Al 0.5421 0.0583 0.7143  3 Au 2.64-2.71, 1 Al 2.71
15 Al 0.9579 0.4417 0.2143  3 Au 2.64-2.71, 1 Al 2.71
16 Al 0.4579 0.5583 0.2857  3 Au 2.64-2.71, 1 Al 2.71
17 Al 0.7398 0.5548 0.0322  3 Au 2.66-2.71, 1 Al 2.75
18 Al 0.2398 0.4452 0.4678  3 Au 2.66-2.71, 1 Al 2.75
19 Al 0.2602 0.0548 0.9678  3 Au 2.66-2.71, 1 Al 2.75
20 Al 0.7602 0.9452 0.5322  3 Au 2.66-2.71, 1 Al 2.75
21 Al 0.2602 0.4452 0.9678  3 Au 2.66-2.71, 1 Al 2.75
22 Al 0.7602 0.5548 0.5322  3 Au 2.66-2.71, 1 Al 2.75
23 Al 0.7398 0.9452 0.0322  3 Au 2.66-2.71, 1 Al 2.75
24 Al 0.2398 0.0548 0.4678  3 Au 2.66-2.71, 1 Al 2.75
25 Au 0.2202 0.2500 0.3256  6 Al 2.64-2.71
26 Au 0.7202 0.7500 0.1744  6 Al 2.64-2.71
27 Au 0.7798 0.7500 0.6744  6 Al 2.64-2.71
28 Au 0.2798 0.2500 0.8256  6 Al 2.64-2.71
29 Au 0.9886 0.2500 0.0724  6 Al 2.66-2.69
30 Au 0.4886 0.7500 0.4276  6 Al 2.66-2.69
31 Au 0.0114 0.7500 0.9276  6 Al 2.66-2.69
32 Au 0.5114 0.2500 0.5724  6 Al 2.66-2.69

## Properties
D(E_F) = 9.94 states/eV per cell
Formation enthalpy at 0 K = -534 meV per atom

***

[5]
An optimized crystal structure of CaAl2Au. Source: Alexandria via LeMat-Bulk, functional PBE-GGA.

Lattice parameters (Å, degrees): 3.3828 3.3834 7.1753 90.00 90.00 90.00
Closest atoms and distances in Å follow each position.
Positions (direct):
1 Ca 0.5000 0.5000 0.7410  4 Au 3.20, 5 Al 3.25-3.41, 4 Ca 3.38
2 Au 0.0000 0.0000 0.4451  5 Al 2.72-2.85
3 Al 0.0000 0.0000 0.0483  1 Au 2.85, 4 Al 2.86
4 Al 0.5000 0.5000 0.2656  4 Au 2.72, 4 Al 2.86

## Properties
D(E_F) = 1.63 states/eV per cell
Formation enthalpy at 0 K = -351 meV per atom

***

[6]
An optimized crystal structure of Ca3Al7Au4. Source: Alexandria via LeMat-Bulk, functional PBE-GGA.

Lattice parameters (Å, degrees): 4.3440 8.3201 8.6010 70.61 75.37 74.87
Closest atoms and distances in Å follow each position.
Positions (direct):
1 Ca 0.3062 0.1934 0.1943  4 Au 3.10-3.18, 10 Al 3.16-3.39
2 Ca 0.6938 0.8066 0.8057  4 Au 3.10-3.18, 10 Al 3.16-3.39
3 Ca 0.0000 0.5000 0.5000  6 Au 3.11-3.26, 6 Al 3.37-3.48
4 Al 0.3225 0.8302 0.5249  4 Au 2.62-2.70, 1 Al 2.81
5 Al 0.4962 0.2062 0.8014  3 Au 2.63-2.73, 5 Al 2.81-2.94
6 Al 0.8516 0.3740 0.9228  3 Au 2.65-2.76, 3 Al 2.89
7 Al 0.6775 0.1698 0.4751  4 Au 2.62-2.70, 1 Al 2.81
8 Al 0.1484 0.6260 0.0772  3 Au 2.65-2.76, 3 Al 2.89
9 Al 0.0000 0.0000 0.0000  2 Au 2.72, 6 Al 2.89-2.94
10 Al 0.5038 0.7938 0.1986  3 Au 2.63-2.73, 5 Al 2.81-2.94
11 Au 0.6596 0.4603 0.2205  5 Al 2.63-2.76
12 Au 0.3404 0.5397 0.7795  5 Al 2.63-2.76
13 Au 0.8788 0.9008 0.3415  6 Al 2.62-2.73
14 Au 0.1212 0.0992 0.6585  6 Al 2.62-2.73

## Properties
D(E_F) = 6.60 states/eV per cell
Formation enthalpy at 0 K = -569 meV per atom

***

[7]
An optimized crystal structure of Ca3Al2Au7. Source: Alexandria via LeMat-Bulk, functional PBE-GGA.

Lattice parameters (Å, degrees): 4.2116 5.2633 12.2700 85.24 90.00 90.00
Closest atoms and distances in Å follow each position.
Positions (direct):
1 Ca 0.5000 0.5000 0.0000  10 Au 3.25-3.37
2 Ca 0.5000 0.7779 0.3866  6 Au 3.01-3.35
3 Ca 0.5000 0.2221 0.6134  6 Au 3.01-3.35
4 Al 0.0000 0.8778 0.8036  5 Au 2.49-2.75
5 Al 0.0000 0.1222 0.1964  5 Au 2.49-2.75
6 Au 0.0000 0.3548 0.8129  2 Al 2.52-2.75
7 Au 0.0000 0.7320 0.5691  4 Au 2.93-3.17, 1 Al 3.04, 2 Ca 3.07
8 Au 0.0000 0.0000 0.0000  2 Al 2.54, 2 Au 2.84
9 Au 0.0000 0.6452 0.1871  2 Al 2.52-2.75
10 Au 0.5000 0.3059 0.2640  2 Al 2.49
11 Au 0.5000 0.6941 0.7360  2 Al 2.49
12 Au 0.0000 0.2680 0.4309  4 Au 2.93-3.17, 1 Al 3.04, 2 Ca 3.07

## Properties
D(E_F) = 4.21 states/eV per cell
Formation enthalpy at 0 K = -594 meV per atom
Relative energy among the computed polymorphs = 0 meV per atom

***

[8]
An optimized crystal structure of Ca8Al2Au. Source: Alexandria via LeMat-Bulk, functional PBE-GGA.

Lattice parameters (Å, degrees): 5.2752 8.8990 8.9321 119.88 107.18 90.00
Closest atoms and distances in Å follow each position.
Positions (direct):
1 Ca 0.6574 0.8744 0.3148  3 Al 3.31, 1 Au 3.41, 5 Ca 3.51-3.67
2 Ca 0.3426 0.5596 0.6852  3 Al 3.31, 1 Au 3.41, 5 Ca 3.51-3.67
3 Ca 0.1315 0.1315 0.2630  2 Au 3.26, 4 Ca 3.46-3.63
4 Ca 0.0000 0.3235 0.0000  7 Ca 3.14-3.51, 2 Al 3.24
5 Ca 0.8685 0.8685 0.7370  2 Au 3.26, 4 Ca 3.46-3.63
6 Ca 0.6574 0.4404 0.3148  3 Al 3.31, 1 Au 3.41, 5 Ca 3.51-3.67
7 Ca 0.3426 0.1256 0.6852  3 Al 3.31, 1 Au 3.41, 5 Ca 3.51-3.67
8 Ca 0.0000 0.6765 0.0000  7 Ca 3.14-3.51, 2 Al 3.24
9 Al 0.1947 0.6947 0.3894  8 Ca 3.24-3.31
10 Al 0.8053 0.3053 0.6106  8 Ca 3.24-3.31
11 Au 0.5000 0.0000 0.0000  8 Ca 3.26-3.41

## Properties
D(E_F) = 6.96 states/eV per cell
Formation enthalpy at 0 K = -179 meV per atom

***

[9]
An optimized crystal structure of CaAl2Au3. Source: Alexandria via LeMat-Bulk, functional PBE-GGA.

Lattice parameters (Å, degrees): 5.5395 6.7419 6.7419 100.83 90.00 90.00
Closest atoms and distances in Å follow each position.
Positions (direct):
1 Ca 0.2500 0.3195 0.3195  7 Au 3.18-3.41
2 Ca 0.7500 0.6805 0.6805  7 Au 3.18-3.41
3 Al 0.5000 0.7865 0.2135  4 Au 2.52-2.65, 2 Al 2.77
4 Al 0.0000 0.7865 0.2135  4 Au 2.52-2.65, 2 Al 2.77
5 Al 0.0000 0.2135 0.7865  4 Au 2.52-2.65, 2 Al 2.77
6 Al 0.5000 0.2135 0.7865  4 Au 2.52-2.65, 2 Al 2.77
7 Au 0.7500 0.4720 0.1040  2 Al 2.52, 1 Au 2.80
8 Au 0.7500 0.1040 0.4720  2 Al 2.52, 1 Au 2.80
9 Au 0.2500 0.5280 0.8960  2 Al 2.52, 1 Au 2.80
10 Au 0.7500 0.0506 0.0506  4 Al 2.65, 4 Au 2.80-2.90
11 Au 0.2500 0.9494 0.9494  4 Al 2.65, 4 Au 2.80-2.90
12 Au 0.2500 0.8960 0.5280  2 Al 2.52, 1 Au 2.80

## Properties
D(E_F) = 3.20 states/eV per cell
Formation enthalpy at 0 K = -601 meV per atom

***

[10]
An optimized crystal structure of CaAlAu6. Source: Alexandria via LeMat-Bulk, functional PBE-GGA.

Lattice parameters (Å, degrees): 7.7466 7.7476 7.7585 41.96 41.96 41.99
Closest atoms and distances in Å follow each position.
Positions (direct):
1 Ca 0.0000 0.0000 0.0000  12 Au 3.18
2 Al 0.5000 0.5000 0.5000  6 Au 2.56
3 Au 0.5759 0.5759 0.0681  1 Al 2.56, 4 Au 2.73-2.82
4 Au 0.5758 0.0682 0.5752  1 Al 2.56, 4 Au 2.73-2.82
5 Au 0.0682 0.5757 0.5753  1 Al 2.56, 4 Au 2.73-2.82
6 Au 0.9318 0.4243 0.4247  1 Al 2.56, 4 Au 2.73-2.82
7 Au 0.4242 0.9318 0.4248  1 Al 2.56, 4 Au 2.73-2.82
8 Au 0.4241 0.4241 0.9319  1 Al 2.56, 4 Au 2.73-2.82

## Properties
D(E_F) = 2.42 states/eV per cell
Formation enthalpy at 0 K = -282 meV per atom
Relative energy among the computed polymorphs = 90 meV per atom

***

[11]
An optimized crystal structure of CaAl2Au. Source: Alexandria via LeMat-Bulk, functional PBE-GGA.

Lattice parameters (Å, degrees): 4.5651 3.6544 5.3246 89.66 90.00 90.00
Closest atoms and distances in Å follow each position.
Positions (direct):
1 Ca 0.5000 0.7500 0.7500  8 Al 3.21-3.22, 4 Au 3.22-3.24
2 Au 0.5000 0.2500 0.2500  4 Al 2.64
3 Al 0.0000 0.2469 0.0014  2 Au 2.64, 2 Al 2.65-2.68
4 Al 0.0000 0.2531 0.4986  2 Au 2.64, 2 Al 2.65-2.68

## Properties
D(E_F) = 1.87 states/eV per cell
Formation enthalpy at 0 K = -368 meV per atom

***

[12]
An optimized crystal structure of Ca3Al4Au2. Source: Alexandria via LeMat-Bulk, functional PBE-GGA.

Lattice parameters (Å, degrees): 4.4492 5.9202 9.3064 67.95 76.17 67.93
Closest atoms and distances in Å follow each position.
Positions (direct):
1 Ca 0.3768 0.5535 0.6929  3 Au 3.13-3.25, 8 Al 3.20-3.40
2 Ca 0.0000 0.0000 0.0000  6 Al 3.22-3.26
3 Ca 0.6232 0.4465 0.3071  3 Au 3.13-3.25, 8 Al 3.20-3.40
4 Al 0.2734 0.3874 0.0659  1 Au 2.56, 2 Al 2.64
5 Al 0.7266 0.6126 0.9341  1 Au 2.56, 2 Al 2.64
6 Al 0.1122 0.2080 0.5675  3 Au 2.58-2.79
7 Al 0.8878 0.7920 0.4325  3 Au 2.58-2.79
8 Au 0.3354 0.0097 0.3194  4 Al 2.56-2.79
9 Au 0.6646 0.9903 0.6806  4 Al 2.56-2.79

## Properties
D(E_F) = 4.33 states/eV per cell
Formation enthalpy at 0 K = -505 meV per atom

***

Which magnetization belongs to each record? In order, 0.0000, 0.0000, 0.0000, 0.0000, 0.0000, 0.0000, 0.0000, 0.0000, 0.0000, 0.0000, 0.0000, 0.0000 μB per atom.
Which calculated volume belongs to each record? In order, 18.7, 20.1, 19.8, 20.5, 20.5, 19.9, 22.6, 31.1, 20.6, 23.5, 22.2, 23.2 Å³/atom.